TbSc2Ti | Alexandria via LeMat-Bulk | PBE | relaxed; total energy = -6.067 eV/atom; ΔE_f = 229.7 meV per atom; ΔE to the lowest computed polymorph = 0.0892 eV per atom; mass density = 5.07 g/cm³
1.0
-3.5450 -1.5256 -3.4280
-2.4832 -4.4751 0.6731
-4.9988 -0.0097 1.2873
Ti Sc Tb
1 2 1
Cartesian
-5.5135 -3.0052 -0.7338 Ti
-8.2703 -4.5078 -1.1006 Sc
-2.7568 -1.5026 -0.3669 Sc
0.0000 0.0000 0.0000 Tb